1.
# SnIrSe2 | Alexandria via LeMat-Bulk | PBE | optimized geometry
data_SnIrSe2
_space_group_name_H-M_alt 'P 1'
_space_group_IT_number 1
_space_group_name_Hall 'P 1'
_cell_length_a 8.748
_cell_length_b 8.748
_cell_length_c 8.748
_cell_angle_alpha 24.53
_cell_angle_beta 24.53
_cell_angle_gamma 24.53
loop_
_atom_site_label
_atom_site_fract_x
_atom_site_fract_y
_atom_site_fract_z
Sn1 0.000 0.000 0.000
Ir1 0.500 0.500 0.500
Se1 0.117 0.117 0.117
Se2 0.883 0.883 0.883
# Formation energy (no corrections) = -18.6 kJ/mol of atoms

***

2.
# SnIrSe | Alexandria via LeMat-Bulk | PBE | optimized geometry
data_SnIrSe
_space_group_name_H-M_alt 'P 1'
_space_group_IT_number 1
_space_group_name_Hall 'P 1'
_cell_length_a 10.961
_cell_length_b 3.672
_cell_length_c 6.695
_cell_angle_alpha 90.00
_cell_angle_beta 90.00
_cell_angle_gamma 90.00
loop_
_atom_site_label
_atom_site_fract_x
_atom_site_fract_y
_atom_site_fract_z
Sn1 0.220 0.250 0.007
Sn2 0.280 0.750 0.507
Sn3 0.720 0.250 0.493
Sn4 0.780 0.750 0.993
Ir1 0.122 0.250 0.652
Ir2 0.378 0.750 0.152
Ir3 0.622 0.250 0.848
Ir4 0.878 0.750 0.348
Se1 0.031 0.250 0.300
Se2 0.469 0.750 0.800
Se3 0.531 0.250 0.200
Se4 0.969 0.750 0.700
# Formation energy (no corrections) = -21.0 kJ/mol of atoms

***

What is the formation energy (no corrections) in the second record?
-21.0 kJ/mol of atoms

***

Among the records above, which one has the lowest formation energy (no corrections)?
SnIrSe